## AlCr (PBE)

Data for AlCr after structural relaxation.

Output
Formation enthalpy at 0 K = -0.013 eV per atom
Theoretical density = 5.04 Mg/m³
DOS at the Fermi energy = 1.66 states/eV per cell

Lattice parameters (Å, degrees): 2.5746 2.5746 4.0473 90.00 90.00 103.96
Closest atoms and distances in Å follow each position.
Fractional coordinates of all 2 atoms:
Al (0.0000, 0.0000, 0.0000)  8 Cr 2.57-2.87, 4 Al 2.57
Cr (0.5000, 0.5000, 0.5000)  8 Al 2.57-2.87, 4 Cr 2.57